1.
## Pt2Br (SCAN)

Data for a PBEsol-optimized structure of Pt2Br.

Summary:
* energy relative to the elements, uncorrected: 51.99 kJ/mol of atoms
* magnetic moment: 0.000 μB/cell
* relative energy among the computed polymorphs: 124 meV/atom
* symmetry: No. 139
* volume: 19.7 Å³ per atom
* electronic total energy: -52.743 eV/atom

Unit cell a=3.582 b=3.582 c=9.200 alpha=90.00 beta=90.00 gamma=90.00
Positions (direct):
Pt: 0.000 0.000 0.222
Pt: 0.000 0.000 0.778
Pt: 0.500 0.500 0.278
Pt: 0.500 0.500 0.722
Br: 0.000 0.000 0.500
Br: 0.500 0.500 0.000



2.
## Pt2Br (SCAN)

Data for a PBEsol-optimized structure of Pt2Br.

Summary:
* energy relative to the elements, uncorrected: 90.21 kJ/mol of atoms
* magnetic moment: 0.000 μB/cell
* relative energy among the computed polymorphs: 520 meV/atom
* symmetry: No. 191
* volume: 17.3 Å³ per atom
* electronic total energy: -52.347 eV/atom

Unit cell a=4.590 b=4.590 c=2.842 alpha=90.00 beta=90.00 gamma=120.00
Positions (direct):
Pt: 0.333 0.667 0.000
Pt: 0.667 0.333 0.000
Br: 0.000 0.000 0.500



3.
## PtBr (SCAN)

Data for a PBEsol-optimized structure of PtBr.

Summary:
* energy relative to the elements, uncorrected: 51.32 kJ/mol of atoms
* magnetic moment: 0.000 μB/cell
* symmetry: No. 11
* volume: 20.6 Å³ per atom
* electronic total energy: -44.294 eV/atom

Unit cell a=3.744 b=3.426 c=6.683 alpha=90.00 beta=106.22 gamma=90.00
Positions (direct):
Pt: 0.082 0.250 0.165
Pt: 0.918 0.750 0.835
Br: 0.367 0.250 0.733
Br: 0.633 0.750 0.267



4.
## Pt2Br (SCAN)

Data for a PBEsol-optimized structure of Pt2Br.

Summary:
* energy relative to the elements, uncorrected: 40.07 kJ/mol of atoms
* magnetic moment: 0.000 μB/cell
* relative energy among the computed polymorphs: 0 meV/atom
* symmetry: No. 71
* volume: 19.4 Å³ per atom
* electronic total energy: -52.867 eV/atom

Unit cell a=3.362 b=3.384 c=10.212 alpha=90.00 beta=90.00 gamma=90.00
Positions (direct):
Pt: 0.000 0.000 0.199
Pt: 0.000 0.000 0.801
Pt: 0.500 0.500 0.301
Pt: 0.500 0.500 0.699
Br: 0.000 0.500 0.000
Br: 0.500 0.000 0.500



5.
## PtRhBr3 (SCAN)

Data for a PBEsol-optimized structure of PtRhBr3.

Summary:
* energy relative to the elements, uncorrected: 72.27 kJ/mol of atoms
* magnetic moment: 1.281 μB/cell
* symmetry: No. 221
* volume: 23.2 Å³ per atom
* electronic total energy: -31.720 eV/atom

Unit cell a=4.879 b=4.879 c=4.879 alpha=90.00 beta=90.00 gamma=90.00
Positions (direct):
Pt: 0.000 0.000 0.000
Rh: 0.500 0.500 0.500
Br: 0.000 0.500 0.500
Br: 0.500 0.000 0.500
Br: 0.500 0.500 0.000



6.
## PtRh2SeBr (SCAN)

Data for a PBEsol-optimized structure of PtRh2SeBr.

Summary:
* energy relative to the elements, uncorrected: 113.09 kJ/mol of atoms
* magnetic moment: 1.253 μB/cell
* symmetry: No. 123
* volume: 20.2 Å³ per atom
* electronic total energy: -34.283 eV/atom

Unit cell a=4.445 b=4.445 c=5.113 alpha=90.00 beta=90.00 gamma=90.00
Positions (direct):
Pt: 0.000 0.000 0.000
Rh: 0.000 0.500 0.500
Rh: 0.500 0.000 0.500
Se: 0.500 0.500 0.500
Br: 0.500 0.500 0.000